[1]
Entry from Alexandria: KMo2P after structural relaxation (GGA-PBE).

abc: 4.5966 4.5966 4.5966
angles: 60.00 60.00 60.00
Last column: nearest neighbours and their distance in Å.
Fractional coordinates of all 4 atoms:
K (0.0000, 0.0000, 0.0000)  4 Mo 2.81, 4 P 2.81
Mo (0.2500, 0.2500, 0.2500)  4 Mo 2.81, 4 K 2.81
Mo (0.5000, 0.5000, 0.5000)  4 Mo 2.81, 4 P 2.81
P (0.7500, 0.7500, 0.7500)  4 Mo 2.81, 4 K 2.81

=====

[2]
Entry from Alexandria: KMo2P after structural relaxation (GGA-PBE).

abc: 5.7897 5.7897 2.5995
angles: 90.00 90.00 122.46
Last column: nearest neighbours and their distance in Å.
Fractional coordinates of all 4 atoms:
K (0.0000, 0.0000, 0.0000)  2 K 2.60, 2 P 2.79
Mo (0.0000, 0.5000, 0.5000)  4 Mo 2.60-2.79
Mo (0.5000, 0.0000, 0.5000)  4 Mo 2.60-2.79
P (0.5000, 0.5000, 0.0000)  2 P 2.60, 2 K 2.79

=====

[3]
Entry from Alexandria: KMo2P after structural relaxation (GGA-PBE).

abc: 5.3053 5.3053 5.3053
angles: 135.89 135.89 64.15
Last column: nearest neighbours and their distance in Å.
Fractional coordinates of all 4 atoms:
K (0.0000, 0.0000, 0.0000)  4 P 2.82, 8 Mo 3.00
Mo (0.2500, 0.7500, 0.5000)  4 Mo 2.82, 4 K 3.00, 4 P 3.00
Mo (0.7500, 0.2500, 0.5000)  4 Mo 2.82, 4 K 3.00, 4 P 3.00
P (0.5000, 0.5000, 0.0000)  4 K 2.82, 8 Mo 3.00

=====

[4]
Entry from Alexandria: KMo2P after structural relaxation (GGA-PBE).

abc: 9.4291 9.4291 9.4291
angles: 151.45 151.45 40.81
Last column: nearest neighbours and their distance in Å.
Fractional coordinates of all 8 atoms:
K (0.0000, 0.0000, 0.0000)  4 Mo 3.21, 4 P 3.29
K (0.7500, 0.2500, 0.5000)  4 Mo 3.21, 4 P 3.29
Mo (0.3081, 0.1250, 0.6831)  2 Mo 2.41, 2 P 2.52
Mo (0.3750, 0.6919, 0.8169)  2 Mo 2.41, 2 P 2.52
Mo (0.4419, 0.6250, 0.3169)  2 Mo 2.41, 2 P 2.52
Mo (0.8750, 0.5581, 0.1831)  2 Mo 2.41, 2 P 2.52
P (0.2500, 0.7500, 0.5000)  4 Mo 2.52
P (0.5000, 0.5000, 0.0000)  4 Mo 2.52

=====

[5]
Entry from Alexandria: K6MoP4 after structural relaxation (GGA-PBE).

abc: 10.0694 10.0694 8.0137
angles: 90.00 90.00 120.00
Last column: nearest neighbours and their distance in Å.
Fractional coordinates of all 22 atoms:
K (0.0646, 0.5323, 0.0000)  5 P 3.31-3.48, 1 Mo 3.58, 2 K 3.67
K (0.1460, 0.2921, 0.3192)  4 P 3.24-3.34
K (0.1460, 0.8540, 0.3192)  4 P 3.24-3.34
K (0.2921, 0.1460, 0.8192)  4 P 3.24-3.34
K (0.4677, 0.5323, 0.0000)  5 P 3.31-3.48, 1 Mo 3.58, 2 K 3.67
K (0.4677, 0.9354, 0.0000)  5 P 3.31-3.48, 1 Mo 3.58, 2 K 3.67
K (0.5323, 0.0646, 0.5000)  5 P 3.31-3.48, 1 Mo 3.58, 2 K 3.67
K (0.5323, 0.4677, 0.5000)  5 P 3.31-3.48, 1 Mo 3.58, 2 K 3.67
K (0.7079, 0.8540, 0.3192)  4 P 3.24-3.34
K (0.8540, 0.1460, 0.8192)  4 P 3.24-3.34
K (0.8540, 0.7079, 0.8192)  4 P 3.24-3.34
K (0.9354, 0.4677, 0.5000)  5 P 3.31-3.48, 1 Mo 3.58, 2 K 3.67
Mo (0.3333, 0.6667, 0.6094)  4 P 2.32-2.34
Mo (0.6667, 0.3333, 0.1094)  4 P 2.32-2.34
P (0.2060, 0.4119, 0.7014)  1 Mo 2.34
P (0.2060, 0.7940, 0.7014)  1 Mo 2.34
P (0.3333, 0.6667, 0.3204)  1 Mo 2.32
P (0.4119, 0.2060, 0.2014)  1 Mo 2.34
P (0.5881, 0.7940, 0.7014)  1 Mo 2.34
P (0.6667, 0.3333, 0.8204)  1 Mo 2.32
P (0.7940, 0.2060, 0.2014)  1 Mo 2.34
P (0.7940, 0.5881, 0.2014)  1 Mo 2.34

=====

[6]
Entry from Alexandria: KMo2P after structural relaxation (GGA-PBE).

abc: 2.8892 2.8892 9.5830
angles: 90.00 90.00 108.68
Last column: nearest neighbours and their distance in Å.
Fractional coordinates of all 4 atoms:
K (0.0000, 0.0000, 0.0000)  4 K 2.89, 2 P 3.11
Mo (0.0000, 0.0000, 0.5388)  2 P 2.47, 2 Mo 2.65
Mo (0.5000, 0.5000, 0.3257)  6 Mo 2.65-2.89
P (0.5000, 0.5000, 0.7274)  2 Mo 2.47

=====

The following M_tot values (in μB/f.u.) correspond, in order, to the records above: 0.01, 0.00, 0.00, 0.00, 0.00, 0.00.
The following ΔH_f (0 K) values (in kJ/mol of formula units) correspond, in order, to the records above: 393, 516, 520, 349, -444, 179.
The following final energy values (in eV/atom) correspond, in order, to the records above: -6.023, -5.705, -5.695, -6.137, -3.969, -6.578.